# UNiGe

A PBEsol-optimized structure of UNiGe (meta-GGA SCAN, Alexandria via LeMat-Bulk).

Properties
The calculation puts the energy relative to the elements at -298 meV/atom. As for the volume: 16.47 A^3/atom. Its space group is C2/m. Its crystal system is monoclinic. The value obtained for the uncorrected energy is -46.561 eV/atom.

Structure (POSCAR):
```
UNiGe
1.0
-1.6195 -3.6355 -0.2536
3.6850 -1.4501 -2.7445
1.8716 0.9721 5.4678
Ni Ge U
2 2 2
Cartesian
0.5881 -2.6110 2.3182
3.3490 -1.5024 0.1514
1.7804 -1.0468 3.6363
2.1567 -3.0666 -1.1667
1.0510 -0.5016 0.4792
2.8862 -3.6118 1.9905
```

---

# UNiGe

A PBEsol-optimized structure of UNiGe (meta-GGA SCAN, Alexandria via LeMat-Bulk).

Properties
The calculation puts the energy relative to the elements at -372 meV/atom. As for the volume: 15.76 A^3/atom. Its space group is Pnma. Its crystal system is orthorhombic. The value obtained for the uncorrected energy is -46.635 eV/atom.

Structure (POSCAR):
```
UNiGe
1.0
-2.6691 -1.8295 1.8033
-2.9914 -1.8033 -6.2571
3.9453 -5.9304 -0.1770
U Ni Ge
4 4 4
Cartesian
0.3521 -5.0771 -2.7271
-2.0674 -4.4861 -1.9037
-0.1965 -7.4024 -5.8982
-1.5188 -2.1608 1.2674
-2.2391 -2.3792 -3.8253
0.5238 -7.1840 -0.8055
0.3040 -3.0519 -0.7437
-2.0193 -6.5113 -3.8871
-1.3467 -1.5937 -1.7077
-0.3686 -7.9695 -2.9232
-0.1553 -5.1401 0.2629
-1.5600 -4.4231 -4.8938
```

---

# YNiGe

A PBEsol-optimized structure of YNiGe (meta-GGA SCAN, Alexandria via LeMat-Bulk).

Properties
The calculation puts the energy relative to the elements at -891 meV/atom. As for the volume: 17.11 A^3/atom. Its space group is Pnma. Its crystal system is orthorhombic. The value obtained for the uncorrected energy is -21.926 eV/atom.

Structure (POSCAR):
```
YNiGe
1.0
4.1798 0.0000 0.0000
0.0000 6.8345 0.0000
0.0000 0.0000 7.1863
Y Ni Ge
4 4 4
Cartesian
1.0450 3.3619 5.0639
3.1349 3.4726 2.1224
3.1349 0.0553 1.4707
1.0450 6.7792 5.7156
3.1349 5.5284 4.1835
3.1349 2.1111 6.5959
1.0450 4.7234 0.5904
1.0450 1.3061 3.0028
1.0450 5.5043 2.9563
3.1349 4.7474 6.5495
1.0450 2.0871 0.6368
3.1349 1.3302 4.2300
```